# 1
# KFeMo | Alexandria | PBE | optimized geometry
# Relative energy among the computed polymorphs ... 0.570 eV per atom
# Energy relative to the elements ... 1563.1 meV/atom
data_KFeMo
_chemical_formula_sum 'K1 Fe1 Mo1'
_cell_length_a 5.0681
_cell_length_b 5.0681
_cell_length_c 2.5689
_cell_angle_alpha 90.00
_cell_angle_beta 90.00
_cell_angle_gamma 120.00
_space_group_name_H-M_alt 'P -6 m 2'
_space_group_IT_number 187
_space_group_name_Hall 'P -6 2'
loop_
_atom_site_label
_atom_site_type_symbol
_atom_site_fract_x
_atom_site_fract_y
_atom_site_fract_z
K1 K 0.0000 0.0000 0.0000
Fe1 Fe 0.3333 0.6667 0.5000
Mo1 Mo 0.6667 0.3333 0.0000


# 2
# KFeMo2 | Alexandria | PBE | optimized geometry
# Relative energy among the computed polymorphs ... 0.107 eV per atom
# Energy relative to the elements ... 872.5 meV/atom
data_KFeMo2
_chemical_formula_sum 'K1 Fe1 Mo2'
_cell_length_a 2.8217
_cell_length_b 3.7509
_cell_length_c 8.1130
_cell_angle_alpha 90.00
_cell_angle_beta 90.00
_cell_angle_gamma 90.00
_space_group_name_H-M_alt 'P m m 2'
_space_group_IT_number 25
_space_group_name_Hall 'P 2 -2'
loop_
_atom_site_label
_atom_site_type_symbol
_atom_site_fract_x
_atom_site_fract_y
_atom_site_fract_z
K1 K 0.0000 0.0000 0.0000
Fe1 Fe 0.5000 0.5000 0.6602
Mo1 Mo 0.0000 0.0000 0.5449
Mo2 Mo 0.5000 0.5000 0.3648


# 3
# KFeMo | Alexandria | PBE | optimized geometry
# Relative energy among the computed polymorphs ... 0.008 eV per atom
# Energy relative to the elements ... 1001.2 meV/atom
data_KFeMo
_chemical_formula_sum 'K4 Fe4 Mo4'
_cell_length_a 3.2160
_cell_length_b 4.6380
_cell_length_c 15.7628
_cell_angle_alpha 90.00
_cell_angle_beta 90.00
_cell_angle_gamma 90.00
_space_group_name_H-M_alt 'F m m 2'
_space_group_IT_number 42
_space_group_name_Hall 'F 2 -2'
loop_
_atom_site_label
_atom_site_type_symbol
_atom_site_fract_x
_atom_site_fract_y
_atom_site_fract_z
K1 K 0.0000 0.0000 0.0000
Fe1 Fe 0.0000 0.0000 0.6842
Mo1 Mo 0.0000 0.0000 0.2992